# 1
Ac6Zn2Pb | PBE-GGA | relaxed

## Properties
The calculation puts the total energy at -65.492 eV/cell. Its space group is Immm (71).

abc: 9.5820 9.5820 9.5820
angles: 102.91 111.02 114.70
Positions (direct):
Ac 0.8083 0.2351 0.0434
Ac 0.1917 0.2351 0.4268
Ac 0.4704 0.2851 0.1852
Ac 0.3071 0.6326 0.3256
Ac 0.6929 0.3674 0.6744
Ac 0.9001 0.7149 0.1852
Ac 0.6929 0.0185 0.3256
Ac 0.8083 0.7649 0.5732
Ac 0.5296 0.7149 0.8148
Ac 0.0999 0.2851 0.8148
Ac 0.1917 0.7649 0.9566
Ac 0.3071 0.9815 0.6744
Zn 0.5000 0.3867 0.8867
Zn 0.6548 0.0000 0.6548
Zn 0.5000 0.6133 0.1133
Zn 0.3452 0.0000 0.3452
Pb 0.0000 0.5000 0.5000
Pb 0.0000 0.0000 0.0000

***

# 2
Ac3ZnPb2 | PBE-GGA | relaxed

## Properties
For the excess energy over the best structure of this formula in the dataset, the calculation gives 0.000 eV per atom. Its space group is Pnma (62).

abc: 4.8574 13.1511 13.3676
angles: 90.00 90.00 90.00
Last column: magnetic moment on the atom in μB.
Positions (direct):
Ac 0.7500 0.9401 0.1243  0.05
Ac 0.7500 0.5599 0.6243  0.05
Ac 0.7500 0.2007 0.2886  0.06
Ac 0.2500 0.7007 0.2114  0.06
Ac 0.2500 0.4401 0.3757  0.05
Ac 0.7500 0.8773 0.4440  0.08
Ac 0.2500 0.1227 0.5560  0.08
Ac 0.2500 0.0599 0.8757  0.05
Ac 0.7500 0.6227 0.9440  0.08
Ac 0.2500 0.3773 0.0560  0.08
Ac 0.7500 0.2993 0.7886  0.06
Ac 0.2500 0.7993 0.7114  0.06
Pb 0.2500 0.9988 0.3066  -0.01
Pb 0.7500 0.1826 0.0188  -0.01
Pb 0.7500 0.3174 0.5188  -0.01
Pb 0.7500 0.0012 0.6934  -0.01
Pb 0.2500 0.5012 0.8066  -0.01
Pb 0.2500 0.6826 0.4812  -0.01
Pb 0.7500 0.4988 0.1934  -0.01
Pb 0.2500 0.8174 0.9812  -0.01
Zn 0.7500 0.8508 0.8576  0.01
Zn 0.2500 0.3508 0.6424  0.01
Zn 0.7500 0.6492 0.3576  0.01
Zn 0.2500 0.1492 0.1424  0.01

***

# 3
Ac2Zn3Pb | PBE-GGA | relaxed

## Properties
For the excess energy over the best structure of this formula in the dataset, the calculation gives 0.000 eV per atom. Its space group is Fmmm (69).

abc: 6.3953 6.3953 9.2600
angles: 107.94 107.94 96.21
Positions (direct):
Zn 0.1613 0.6805 0.8418
Zn 0.1593 0.1593 0.3187
Zn 0.8387 0.3195 0.1582
Zn 0.8407 0.8407 0.6813
Zn 0.6805 0.1613 0.8418
Zn 0.3195 0.8387 0.1582
Ac 0.7500 0.2500 0.5000
Ac 0.7561 0.7561 0.0000
Ac 0.2500 0.7500 0.5000
Ac 0.2439 0.2439 0.0000
Pb 0.3342 0.3342 0.6685
Pb 0.6658 0.6658 0.3315

***

# 4
AcZnPb2 | PBE-GGA | relaxed

## Properties
The calculation puts the total energy at -13.961 eV/cell. Its space group is P4/mmm (123).

abc: 4.9326 4.9119 4.9119
angles: 90.00 90.00 90.00
Positions (direct):
Ac 0.5000 0.0000 0.0000
Pb 0.0000 0.5000 0.0000
Pb 0.0000 0.0000 0.5000
Zn 0.5000 0.5000 0.5000

***

# 5
Ac4ZnPb8 | PBE-GGA | relaxed

## Properties
The calculation puts the total energy at -52.652 eV/cell. Its space group is Pmm2 (25).

abc: 4.7270 4.8973 18.6402
angles: 90.00 90.00 90.00
Positions (direct):
Pb 0.5000 0.5000 0.0480
Pb 0.0000 0.5000 0.2356
Pb 0.5000 0.0000 0.5801
Pb 0.0000 0.0000 0.4659
Pb 0.0000 0.5000 0.9326
Pb 0.5000 0.0000 0.2343
Pb 0.5000 0.5000 0.7532
Pb 0.0000 0.0000 0.7460
Ac 0.0000 0.5000 0.6046
Ac 0.5000 0.5000 0.3969
Ac 0.0000 0.0000 0.0907
Ac 0.5000 0.0000 0.8941
Zn 0.0000 0.0000 0.3211

***

# 6
Ac6ZnPb3 | PBE-GGA | relaxed

## Properties
The calculation puts the total energy at -79.465 eV/cell. Its space group is Cmc2_1 (36).

abc: 7.8877 10.0616 10.0616
angles: 104.51 90.00 90.00
Positions (direct):
Ac 0.7090 0.5238 0.1300
Ac 0.2090 0.4762 0.8700
Ac 0.5931 0.6802 0.7817
Ac 0.2090 0.1300 0.5238
Ac 0.7506 0.2885 0.7115
Ac 0.5931 0.2183 0.3198
Ac 0.2506 0.7115 0.2885
Ac 0.0931 0.3198 0.2183
Ac 0.0931 0.7817 0.6802
Ac 0.2900 0.9555 0.0445
Ac 0.7900 0.0445 0.9555
Ac 0.7090 0.8700 0.4762
Pb 0.4453 0.9987 0.7339
Pb 0.4453 0.2661 0.0013
Pb 0.3336 0.4825 0.5175
Pb 0.9453 0.0013 0.2661
Pb 0.8336 0.5175 0.4825
Pb 0.9453 0.7339 0.9987
Zn 0.6165 0.8448 0.1552
Zn 0.1165 0.1552 0.8448

***

# 7
AcZnPb4 | PBE-GGA | relaxed

## Properties
The calculation puts the total energy at -20.586 eV/cell. Its space group is F-43m (216).

abc: 6.5046 6.5046 6.5046
angles: 60.00 60.00 60.00
Positions (direct):
Zn 0.2500 0.2500 0.2500
Pb 0.6254 0.6254 0.1239
Pb 0.1239 0.6254 0.6254
Pb 0.6254 0.6254 0.6254
Pb 0.6254 0.1239 0.6254
Ac 0.0000 0.0000 0.0000

***

# 8
Ac5Zn2Pb | PBE-GGA | relaxed

## Properties
The calculation puts the total energy at -57.909 eV/cell. Its space group is I4/mcm (140).

abc: 8.9702 8.9702 9.4894
angles: 118.21 118.21 90.00
Positions (direct):
Zn 0.6385 0.1385 0.0000
Zn 0.8615 0.6385 0.0000
Zn 0.1385 0.3615 0.0000
Zn 0.3615 0.8615 0.0000
Ac 0.2989 0.7989 0.2873
Ac 0.5117 0.7011 0.7127
Ac 0.5000 0.5000 0.0000
Ac 0.0000 0.0000 0.0000
Ac 0.9883 0.4883 0.2873
Ac 0.7989 0.9883 0.2873
Ac 0.4883 0.2989 0.2873
Ac 0.2011 0.0117 0.7127
Ac 0.7011 0.2011 0.7127
Ac 0.0117 0.5117 0.7127
Pb 0.2500 0.2500 0.5000
Pb 0.7500 0.7500 0.5000

***

# 9
Ac4ZnPb | PBE-GGA | relaxed

## Properties
The calculation puts the total energy at -22.030 eV/cell. Its space group is P4/mmm (123).

abc: 5.5246 5.5248 7.9609
angles: 89.97 89.98 90.00
Positions (direct):
Zn 0.0011 0.9976 0.4981
Ac 0.5013 0.9975 0.7291
Ac 0.0012 0.4973 0.2672
Ac 0.5013 0.9969 0.2672
Ac 0.0015 0.4974 0.7291
Pb 0.5014 0.4971 0.9982

***

# 10
Ac3Zn2Pb4 | PBE-GGA | relaxed

## Properties
For the excess energy over the best structure of this formula in the dataset, the calculation gives 0.008 eV per atom. Its space group is C2/m (12).

abc: 4.8575 6.7183 9.7763
angles: 107.36 90.00 111.19
Positions (direct):
Zn 0.6994 0.3988 0.3665
Zn 0.3006 0.6012 0.6335
Pb 0.0885 0.1770 0.3844
Pb 0.2919 0.5837 0.9247
Pb 0.7081 0.4163 0.0753
Pb 0.9115 0.8230 0.6156
Ac 0.3723 0.7445 0.3140
Ac 0.6277 0.2555 0.6860
Ac 0.0000 0.0000 0.0000

***

# 11
Ac3Zn2Pb4 | PBE-GGA | relaxed

## Properties
For the excess energy over the best structure of this formula in the dataset, the calculation gives 0.000 eV per atom. Its space group is C2/m (12).

abc: 4.7884 6.8335 9.5607
angles: 101.16 90.00 110.51
Positions (direct):
Pb 0.0828 0.1657 0.3966
Pb 0.9172 0.8343 0.6034
Pb 0.2707 0.5413 0.9085
Pb 0.7293 0.4587 0.0915
Ac 0.0000 0.0000 0.0000
Ac 0.6567 0.3134 0.6643
Ac 0.3433 0.6866 0.3357
Zn 0.4367 0.8735 0.7615
Zn 0.5633 0.1265 0.2385

***

# 12
AcZnPb2 | PBE-GGA | relaxed

## Properties
The calculation puts the total energy at -13.467 eV/cell. Its space group is R-3m (166).

abc: 4.9810 4.9810 6.3778
angles: 67.01 67.01 60.00
Positions (direct):
Zn 0.5000 0.5000 0.5000
Pb 0.2201 0.2201 0.3397
Pb 0.7799 0.7799 0.6603
Ac 0.0000 0.0000 0.0000

***

| no. | Fermi-level density of states (states/eV/atom) |
| --- | --- |
| 1 | 1.258 |
| 2 | 0.784 |
| 3 | 0.885 |
| 4 | 0.611 |
| 5 | 0.494 |
| 6 | 1.028 |
| 7 | 0.475 |
| 8 | 1.136 |
| 9 | 1.424 |
| 10 | 0.459 |
| 11 | 0.503 |
| 12 | 0.581 |